Entry from Alexandria: Sm2YCo2 after structural relaxation (PBE).

Cell: 7.2887 7.2887 4.2708 Å, 90.00 90.00 90.00°
With the nearest neighbours (Å) after each atom.
Space group P4/mbm (No. 127)
Unique sites:
Sm  0.1739  0.3261  0.0000 x4  6 Co 3.00-3.10
Y  0.0000  0.0000  0.5000 x2  4 Co 2.96
Co  0.1087  0.6087  0.5000 x4  1 Co 2.24

Output
* calculated formation energy: -0.4 eV per formula unit
* Fermi-level density of states: 7.00 states/eV/cell
* crystal system: tetragonal
* electronic total energy: -6.099 eV per atom
* ΔE to the lowest computed polymorph: 0.00 kcal/mol of atoms
* V: 22.69 Å³/atom